EuMoO4F after structural relaxation. Source: the Alexandria database, functional PBE with a Hubbard U.

Unit cell a=5.3998 b=12.7420 c=6.8836 alpha=90.00 beta=113.58 gamma=90.00
Closest atoms and distances in Å follow each position.
Fractional coordinates of all 28 atoms:
1 Eu 0.1367 0.0556 0.2965  2 F 2.32-2.41, 6 O 2.38-2.52
2 Eu 0.1367 0.4444 0.7965  2 F 2.32-2.41, 6 O 2.38-2.52
3 Eu 0.8633 0.5556 0.2035  2 F 2.32-2.41, 6 O 2.38-2.52
4 Eu 0.8633 0.9444 0.7035  2 F 2.32-2.41, 6 O 2.38-2.52
5 Mo 0.4147 0.1406 0.8631  4 O 1.77-1.85
6 Mo 0.4147 0.3594 0.3631  4 O 1.77-1.85
7 Mo 0.5853 0.6406 0.6369  4 O 1.77-1.85
8 Mo 0.5853 0.8594 0.1369  4 O 1.77-1.85
9 O 0.2014 0.0637 0.9644  1 Mo 1.85
10 O 0.2014 0.4363 0.4644  1 Mo 1.85
11 O 0.2746 0.6525 0.4147  1 Mo 1.77
12 O 0.2746 0.8475 0.9147  1 Mo 1.77
13 O 0.3046 0.2280 0.2908  1 Mo 1.78
14 O 0.3046 0.2720 0.7908  1 Mo 1.78
15 O 0.4994 0.5704 0.8348  1 Mo 1.84
16 O 0.4994 0.9296 0.3348  1 Mo 1.84
17 O 0.5006 0.0704 0.6652  1 Mo 1.84
18 O 0.5006 0.4296 0.1652  1 Mo 1.84
19 O 0.6954 0.7280 0.2092  1 Mo 1.78
20 O 0.6954 0.7720 0.7092  1 Mo 1.78
21 O 0.7254 0.1525 0.0853  1 Mo 1.77
22 O 0.7254 0.3475 0.5853  1 Mo 1.77
23 O 0.7986 0.5637 0.5356  1 Mo 1.85
24 O 0.7986 0.9363 0.0356  1 Mo 1.85
25 F 0.0197 0.5987 0.9452  2 Eu 2.32-2.41, 1 Mo 2.51
26 F 0.0197 0.9013 0.4452  2 Eu 2.32-2.41, 1 Mo 2.51
27 F 0.9803 0.0987 0.5548  2 Eu 2.32-2.41, 1 Mo 2.51
28 F 0.9803 0.4013 0.0548  2 Eu 2.32-2.41, 1 Mo 2.51

Values from the calculation:
ρ: 5.06 g cm⁻³
VASP energy: -55.00 eV per formula unit
spin magnetization: 23.970 Bohr magnetons per cell
calculated volume: 15.50 Å³ per atom
SG: P2_1/c (14)